[1]
The following is a DFT calculation (PBE) of TbPu2H after structural relaxation.

The structure in POSCAR format:
```
TbPu2H
1.0
3.1959 0.0000 0.0000
0.0000 3.1959 0.0000
0.0000 0.0000 8.5593
H Tb Pu
1 1 2
direct
0.5000 0.5000 0.0000
0.5000 0.5000 0.5000
0.0000 0.0000 0.8250
0.0000 0.0000 0.1750
```

The calculation puts the volume at 21.856 A^3/atom. The relative energy among the computed polymorphs is 0.00 eV per formula unit. The value obtained for the density of states at the Fermi level is 11.32 states/eV per cell. Its space-group type is No. 123.

---

[2]
The following is a DFT calculation (PBE) of HoSc2P after structural relaxation.

The structure in POSCAR format:
```
HoSc2P
1.0
-2.9797 -0.7773 1.8596
-0.1818 -3.0377 1.9184
2.2028 2.9410 8.2383
Sc P Ho
2 1 1
direct
0.2761 0.2761 0.1716
0.7239 0.7239 0.8284
0.0000 0.0000 0.0000
0.5000 0.5000 0.5000
```

The calculation puts the volume at 24.595 A^3/atom. The relative energy among the computed polymorphs is 0.58 eV per formula unit. The value obtained for the density of states at the Fermi level is 5.15 states/eV per cell. Its space-group type is No. 166. The calculated formation energy comes out at -2.58 eV/f.u.

---

[3]
The following is a DFT calculation (PBE) of BaSeCl after structural relaxation.

The structure in POSCAR format:
```
BaSeCl
1.0
-3.8418 -4.1679 -1.7455
2.0448 -5.5581 -0.3216
0.0698 4.3878 3.9900
Ba Cl Se
1 1 1
direct
0.0136 0.0136 0.0000
0.3525 0.3525 0.0000
0.6339 0.6339 0.0000
```

The calculation puts the volume at 32.513 A^3/atom. The relative energy among the computed polymorphs is 1.43 eV per formula unit. The value obtained for the density of states at the Fermi level is 0.61 states/eV per cell. Its space-group type is No. 107. As for the energy relative to the elements, uncorrected: -1.484 eV/atom.

---

[4]
The following is a DFT calculation (PBE) of MgCo2Ir2 after structural relaxation.

The structure in POSCAR format:
```
MgCo2Ir2
1.0
-0.8377 3.1588 6.4746
1.8483 -6.2058 3.2668
2.6070 0.7591 -0.0330
Mg Ir Co
2 4 4
direct
0.0000 0.0000 0.0000
0.5000 0.5000 0.0000
0.3701 0.8701 0.0000
0.8701 0.6299 0.0000
0.6299 0.1299 0.0000
0.1299 0.3701 0.0000
0.1680 0.6680 0.5000
0.6680 0.8320 0.5000
0.8320 0.3320 0.5000
0.3320 0.1680 0.5000
```

The calculation puts the volume at 14.283 A^3/atom. The relative energy among the computed polymorphs is 0.23 eV per formula unit. The value obtained for the density of states at the Fermi level is 11.51 states/eV per cell. Its space-group type is No. 127. The calculated formation energy comes out at 0.26 eV/f.u.

---

[5]
The following is a DFT calculation (PBE) of In2MoW after structural relaxation.

The structure in POSCAR format:
```
In2MoW
1.0
-0.4160 2.2058 -1.8148
-1.9643 -2.0214 -0.6225
-5.8938 3.8647 6.0484
In Mo W
2 1 1
direct
0.0000 0.0000 0.0016
0.0000 0.0000 0.4984
0.5000 0.5000 0.2500
0.5000 0.5000 0.7500
```

The calculation puts the volume at 18.445 A^3/atom. The relative energy among the computed polymorphs is 1.13 eV per formula unit. The value obtained for the density of states at the Fermi level is 2.82 states/eV per cell. Its space-group type is No. 65. The calculated formation energy comes out at 2.32 eV/f.u.

---

[6]
The following is a DFT calculation (PBE) of Co3ReTe after structural relaxation.

The structure in POSCAR format:
```
Co3ReTe
1.0
4.5360 0.0000 0.0000
0.0000 4.5360 0.0000
0.0000 0.0000 4.5360
Re Te Co
1 1 3
direct
0.5000 0.5000 0.5000
0.0000 0.0000 0.0000
0.0000 0.5000 0.0000
0.0000 0.0000 0.5000
0.5000 0.0000 0.0000
```

The calculation puts the volume at 18.666 A^3/atom. The relative energy among the computed polymorphs is 2.26 eV per formula unit. The value obtained for the density of states at the Fermi level is 6.29 states/eV per cell. Its space-group type is No. 221. As for the energy relative to the elements, uncorrected: 1.779 eV/atom.

---

[7]
The following is a DFT calculation (PBE) of Ac2HoErS4 after structural relaxation.

The structure in POSCAR format:
```
Ac2HoErS4
1.0
-2.2287 -0.0844 -3.2902
-5.6595 -0.9525 3.8581
0.9895 7.2933 -0.8574
Ac Ho Er S
2 1 1 4
direct
0.5000 0.0000 0.5000
0.0000 0.5000 0.5000
0.0000 0.0000 0.0000
0.5000 0.5000 0.0000
0.5000 0.2387 0.2146
0.5000 0.7613 0.7854
0.0000 0.2634 0.7860
0.0000 0.7366 0.2140
```

The calculation puts the volume at 24.211 A^3/atom. The value obtained for the density of states at the Fermi level is 3.01 states/eV per cell. Its space-group type is No. 10. As for the energy relative to the elements, uncorrected: -1.977 eV/atom.

---

[8]
The following is a DFT calculation (PBE) of ScSb2Pb2 after structural relaxation.

The structure in POSCAR format:
```
ScSb2Pb2
1.0
7.6846 0.0000 0.0000
0.0000 7.6846 0.0000
0.0000 0.0000 4.9924
Pb Sb Sc
4 4 2
direct
0.1678 0.6678 0.5000
0.6678 0.8322 0.5000
0.8322 0.3322 0.5000
0.3322 0.1678 0.5000
0.3520 0.8520 0.0000
0.8520 0.6480 0.0000
0.6480 0.1480 0.0000
0.1480 0.3520 0.0000
0.0000 0.0000 0.0000
0.5000 0.5000 0.0000
```

The calculation puts the volume at 29.481 A^3/atom. The value obtained for the density of states at the Fermi level is 9.05 states/eV per cell. Its space-group type is No. 127. As for the energy relative to the elements, uncorrected: -0.165 eV/atom.

---

[9]
The following is a DFT calculation (PBE) of DyEr3Tl4S8 after structural relaxation.

The structure in POSCAR format:
```
DyEr3Tl4S8
1.0
8.0072 0.0000 0.0000
0.0000 8.8142 0.5648
-4.0036 -4.0030 5.6630
Dy Er Tl S
1 3 4 8
direct
0.0000 0.5000 0.0000
0.5000 0.5000 0.0000
0.5000 0.5000 0.5000
0.0000 0.5000 0.5000
0.5000 0.0000 0.0000
0.5000 0.0000 0.5000
0.0000 0.0000 0.0000
0.0000 0.0000 0.5000
0.2333 0.6967 0.9636
0.2333 0.6967 0.4665
0.2680 0.3041 0.5360
0.7303 0.6967 0.9636
0.2697 0.3033 0.0364
0.7320 0.6959 0.4640
0.7667 0.3033 0.5335
0.7667 0.3033 0.0364
```

The calculation puts the volume at 26.112 A^3/atom. The value obtained for the density of states at the Fermi level is 0.00 states/eV per cell. Its space-group type is No. 166. As for the energy relative to the elements, uncorrected: -1.490 eV/atom.